[1]
Entry from the Alexandria database: crystalline Al2PPb at its relaxed geometry (GGA-PBE).

## Properties
raw total energy = -0.27760 Ry per atom
SG = I4/mmm (139)
polymorph energy (0 for the lowest one) = 443 meV per atom

Cell and atoms, written as extended XYZ:
```
8
Lattice="4.1308 0.0000 0.0000 0.0000 4.1308 0.0000 0.0000 0.0000 9.9722" Properties=species:S:1:pos:R:3 pbc="T T T"
Al 0.0000 2.0654 2.4931
Al 0.0000 2.0654 7.4792
Al 2.0654 0.0000 2.4931
Al 2.0654 0.0000 7.4792
P 0.0000 0.0000 0.0000
P 2.0654 2.0654 4.9861
Pb 0.0000 0.0000 4.9861
Pb 2.0654 2.0654 0.0000
```

---

[2]
Entry from the Alexandria database: crystalline Al2PPb at its relaxed geometry (GGA-PBE).

## Properties
raw total energy = -0.30458 Ry per atom
SG = Pm (6)
polymorph energy (0 for the lowest one) = 75 meV per atom

Cell and atoms, written as extended XYZ:
```
4
Lattice="3.7449 0.0000 0.0000 0.0000 4.0671 0.0000 -0.0223 0.0000 6.5309" Properties=species:S:1:pos:R:3 pbc="T T T"
Al 0.0000 0.0000 0.0000
Al 1.8724 2.0336 0.2247
P 3.7226 2.0336 5.1489
Pb 1.8751 0.0000 2.3803
```

---

[3]
Entry from the Alexandria database: crystalline Al3PPb at its relaxed geometry (GGA-PBE).

## Properties
raw total energy = -0.27747 Ry per atom
SG = Pm-3m (221)
polymorph energy (0 for the lowest one) = 0 meV per atom

Cell and atoms, written as extended XYZ:
```
5
Lattice="4.7873 0.0000 0.0000 0.0000 4.7873 0.0000 0.0000 0.0000 4.7873" Properties=species:S:1:pos:R:3 pbc="T T T"
Al 0.0000 0.0000 2.3937
Al 0.0000 2.3937 0.0000
Al 2.3937 0.0000 0.0000
P 0.0000 0.0000 0.0000
Pb 2.3937 2.3937 2.3937
```

---

[4]
Entry from the Alexandria database: crystalline Al2PPb at its relaxed geometry (GGA-PBE).

## Properties
raw total energy = -0.27754 Ry per atom
SG = P4/mmm (123)
polymorph energy (0 for the lowest one) = 443 meV per atom

Cell and atoms, written as extended XYZ:
```
4
Lattice="4.6553 0.0000 0.0000 0.0000 4.6553 0.0000 0.0000 0.0000 3.7881" Properties=species:S:1:pos:R:3 pbc="T T T"
Al 0.0000 2.3276 0.0000
Al 2.3276 0.0000 0.0000
P 0.0000 0.0000 1.8940
Pb 2.3276 2.3276 1.8940
```

---

The lowest raw total energy belongs to which entry? number 2